# 1
Computed, not measured: an optimized crystal structure of LiTiCrO4 at the PBEsol level of DFT.

Lattice parameters (Å, degrees): 2.939 4.938 9.470 90.00 90.00 90.00
Fractional coordinates of all 14 atoms:
O: 0.000 0.440 0.541
O: 0.500 0.960 0.963
O: 0.500 0.040 0.463
O: 0.500 0.451 0.283
O: 0.000 0.965 0.216
O: 0.500 0.549 0.783
O: 0.000 0.560 0.041
O: 0.000 0.035 0.716
Ti: 0.000 0.243 0.356
Ti: 0.000 0.757 0.856
Li: 0.000 0.811 0.535
Li: 0.000 0.189 0.035
Cr: 0.500 0.740 0.138
Cr: 0.500 0.260 0.638

total magnetic moment	6.00	Bohr magnetons per cell
space group	Pmc2_1, No. 26
relative energy among the computed polymorphs	20	meV/atom

---

# 2
Computed, not measured: an optimized crystal structure of CsNb3P3O15 at the PBEsol level of DFT.

Lattice parameters (Å, degrees): 6.551 12.985 15.489 90.00 90.00 90.00
Fractional coordinates of all 88 atoms:
Cs: 0.000 0.021 0.330
Cs: 0.500 0.479 0.830
Cs: 0.000 0.979 0.670
Cs: 0.500 0.521 0.170
O: 0.813 0.840 0.528
O: 0.687 0.340 0.972
O: 0.500 0.664 0.737
O: 0.313 0.340 0.972
O: 0.187 0.160 0.472
O: 0.500 0.066 0.156
O: 0.195 0.939 0.123
O: 0.500 0.140 0.754
O: 0.500 0.832 0.037
O: 0.313 0.698 0.288
O: 0.000 0.190 0.967
O: 0.500 0.000 0.500
O: 0.187 0.802 0.788
O: 0.813 0.160 0.472
O: 0.000 0.313 0.102
O: 0.000 0.332 0.463
O: 0.000 0.641 0.154
O: 0.313 0.302 0.712
O: 0.000 0.359 0.846
O: 0.500 0.336 0.263
O: 0.805 0.061 0.877
O: 0.000 0.360 0.254
O: 0.000 0.770 0.398
O: 0.695 0.561 0.623
O: 0.500 0.730 0.898
O: 0.500 0.813 0.398
O: 0.813 0.802 0.788
O: 0.187 0.840 0.528
O: 0.195 0.061 0.877
O: 0.305 0.439 0.377
O: 0.000 0.500 0.000
O: 0.500 0.859 0.654
O: 0.500 0.310 0.467
O: 0.187 0.198 0.212
O: 0.500 0.168 0.963
O: 0.500 0.860 0.246
O: 0.305 0.561 0.623
O: 0.500 0.270 0.102
O: 0.687 0.698 0.288
O: 0.000 0.000 0.000
O: 0.500 0.187 0.602
O: 0.687 0.302 0.712
O: 0.695 0.439 0.377
O: 0.000 0.668 0.537
O: 0.500 0.141 0.346
O: 0.687 0.660 0.028
O: 0.500 0.500 0.500
O: 0.000 0.230 0.602
O: 0.000 0.434 0.656
O: 0.813 0.198 0.212
O: 0.500 0.934 0.844
O: 0.313 0.660 0.028
O: 0.500 0.690 0.533
O: 0.000 0.164 0.763
O: 0.000 0.640 0.746
O: 0.805 0.939 0.123
O: 0.000 0.566 0.344
O: 0.000 0.687 0.898
O: 0.000 0.810 0.033
O: 0.000 0.836 0.237
P: 0.500 0.722 0.995
P: 0.500 0.764 0.310
P: 0.500 0.236 0.690
P: 0.000 0.736 0.810
P: 0.000 0.778 0.495
P: 0.500 0.585 0.573
P: 0.000 0.222 0.505
P: 0.000 0.915 0.073
P: 0.500 0.415 0.427
P: 0.500 0.278 0.005
P: 0.000 0.085 0.927
P: 0.000 0.264 0.190
Nb: 0.000 0.646 0.030
Nb: 0.000 0.292 0.729
Nb: 0.000 0.354 0.970
Nb: 0.500 0.792 0.771
Nb: 0.500 0.929 0.137
Nb: 0.500 0.208 0.229
Nb: 0.000 0.708 0.271
Nb: 0.000 0.429 0.363
Nb: 0.500 0.854 0.530
Nb: 0.500 0.071 0.863
Nb: 0.500 0.146 0.470
Nb: 0.000 0.571 0.637

DFT total energy	-723.52	eV for the cell shown
total magnetic moment	4.23	Bohr magnetons per cell
space group	Pnnm, No. 58